Density functional theory data (PBE) for a relaxed structure of NbTl3Pb.

The structure in POSCAR format:
```
NbTl3Pb
1.0
5.807 0.000 0.000
0.000 5.807 0.000
0.000 0.000 5.807
Pb Tl Nb
1 3 1
Direct
0.000 0.000 0.000
0.000 0.500 0.000
0.000 0.000 0.500
0.500 0.000 0.000
0.500 0.500 0.500
```

Its spin magnetization is 0.5 Bohr magnetons per cell. The calculation puts the energy relative to the lowest polymorph listed for this composition at 913 meV per atom. The value obtained for the formation energy is 7.54 eV per formula unit.